Record 1
The following is a PBEsol calculation of a relaxed Y2SiIr crystal, from Alexandria via LeMat-Bulk.

Cell lengths 3.299, 3.708, 6.548 Å; angles 90.00, 90.00, 90.00 degrees
Sites, in units of the cell vectors:
Y: 0.000 0.000 0.245
Y: 0.000 0.000 0.755
Si: 0.500 0.500 0.500
Ir: 0.500 0.500 0.000

Results
symmetry: Pmmm
DFT total energy: -7.972 eV per atom



Record 2
The following is a PBEsol calculation of a relaxed Y2SiIr crystal, from Alexandria via LeMat-Bulk.

Cell lengths 3.942, 5.621, 5.621 Å; angles 42.96, 90.00, 90.00 degrees
Sites, in units of the cell vectors:
Y: 0.000 0.000 0.000
Y: 0.500 0.283 0.283
Si: 0.500 0.576 0.576
Ir: 0.000 0.718 0.718

Results
symmetry: Amm2
DFT total energy: -8.188 eV per atom



Record 3
The following is a PBEsol calculation of a relaxed ZnSiIr crystal, from Alexandria via LeMat-Bulk.

Cell lengths 4.051, 4.051, 4.051 Å; angles 60.00, 60.00, 60.00 degrees
Sites, in units of the cell vectors:
Zn: 0.000 0.000 0.000
Si: 0.500 0.500 0.500
Ir: 0.250 0.250 0.250

Results
symmetry: F-43m
DFT total energy: -6.006 eV per atom



Record 4
The following is a PBEsol calculation of a relaxed ZnSi2Ir crystal, from Alexandria via LeMat-Bulk.

Cell lengths 3.903, 3.903, 3.560 Å; angles 90.00, 90.00, 90.00 degrees
Sites, in units of the cell vectors:
Zn: 0.000 0.000 0.000
Si: 0.000 0.500 0.500
Si: 0.500 0.000 0.500
Ir: 0.500 0.500 0.000

Results
symmetry: P4/mmm
DFT total energy: -5.678 eV per atom



Record 5
The following is a PBEsol calculation of a relaxed ZnSi3Ir crystal, from Alexandria via LeMat-Bulk.

Cell lengths 4.415, 4.415, 4.415 Å; angles 90.00, 90.00, 90.00 degrees
Sites, in units of the cell vectors:
Zn: 0.000 0.000 0.000
Si: 0.000 0.000 0.500
Si: 0.000 0.500 0.000
Si: 0.500 0.000 0.000
Ir: 0.500 0.500 0.500

Results
symmetry: Pm-3m
DFT total energy: -4.469 eV per atom



Record 6
The following is a PBEsol calculation of a relaxed ZnSiIr crystal, from Alexandria via LeMat-Bulk.

Cell lengths 4.550, 4.550, 4.550 Å; angles 139.03, 139.03, 59.33 degrees
Sites, in units of the cell vectors:
Zn: 0.000 0.000 0.000
Si: 0.325 0.325 0.000
Ir: 0.676 0.676 0.000

Results
symmetry: I4mm
DFT total energy: -6.052 eV per atom



- DFT total energy of number 5 (ZnSi3Ir)?
  -4.469 eV per atom